Ca2TcTe (PBE, optimized geometry); space-group type = Imm2; total DFT energy (no corrections) = -4.496 eV/atom; DOS at the Fermi energy = 6.2 states/eV per cell; crystal system = orthorhombic
1.0
3.560 0.000 0.000
0.000 4.997 0.000
0.000 0.000 12.126
Ca Tc Te
4 2 2
direct
0.000 0.000 0.000 Ca
0.000 0.500 0.210 Ca
0.500 0.000 0.710 Ca
0.500 0.500 0.500 Ca
0.000 0.500 0.730 Tc
0.500 0.000 0.230 Tc
0.000 0.000 0.392 Te
0.500 0.500 0.892 Te